Entry 1:
{"formula": "Ce2HfPt9", "functional": "PBE", "state": "optimized geometry", "lattice_angstrom": [[4.126, 0.000, 0.000], [0.000, 4.126, 0.000], [0.000, 0.000, 12.379]], "species": ["Pt", "Pt", "Pt", "Pt", "Pt", "Pt", "Pt", "Pt", "Pt", "Ce", "Ce", "Hf"], "fractional_positions": [[0.500, 0.000, 0.842], [0.500, 0.500, 0.328], [0.500, 0.000, 0.500], [0.000, 0.500, 0.842], [0.500, 0.000, 0.158], [0.500, 0.500, 0.000], [0.500, 0.500, 0.672], [0.000, 0.500, 0.500], [0.000, 0.500, 0.158], [0.000, 0.000, 0.669], [0.000, 0.000, 0.331], [0.000, 0.000, 0.000]], "n_ef_per_ev_cell": 5.8, "m_tot_mub_per_cell": 0.48, "total_energy_ev_per_atom": -7.364, "ef_mev_per_atom": -1015.4}

***

Entry 2:
{"formula": "Ce3HfPt12", "functional": "PBE", "state": "optimized geometry", "lattice_angstrom": [[4.136, 0.000, 0.000], [0.000, 4.136, 0.000], [0.000, 0.000, 16.556]], "species": ["Pt", "Pt", "Pt", "Pt", "Pt", "Pt", "Pt", "Pt", "Pt", "Pt", "Pt", "Pt", "Ce", "Ce", "Ce", "Hf"], "fractional_positions": [[0.500, 0.500, 0.244], [0.500, 0.500, 0.000], [0.500, 0.500, 0.500], [0.000, 0.500, 0.373], [0.500, 0.000, 0.118], [0.000, 0.500, 0.118], [0.000, 0.500, 0.882], [0.500, 0.000, 0.882], [0.000, 0.500, 0.627], [0.500, 0.000, 0.627], [0.500, 0.500, 0.756], [0.500, 0.000, 0.373], [0.000, 0.000, 0.753], [0.000, 0.000, 0.247], [0.000, 0.000, 0.500], [0.000, 0.000, 0.000]], "n_ef_per_ev_cell": 8.9, "m_tot_mub_per_cell": 0.72, "total_energy_ev_per_atom": -7.273, "ef_mev_per_atom": -1007.5}

***

Entry 3:
{"formula": "CeHfPt2", "functional": "PBE", "state": "optimized geometry", "lattice_angstrom": [[3.322, 0.000, 0.000], [0.000, 3.322, 0.000], [0.000, 0.000, 7.402]], "species": ["Ce", "Pt", "Pt", "Hf"], "fractional_positions": [[0.500, 0.500, 0.500], [0.000, 0.000, 0.792], [0.000, 0.000, 0.208], [0.500, 0.500, 0.000]], "n_ef_per_ev_cell": 6.4, "e_above_lowest_polymorph_mev_per_atom": 83, "m_tot_mub_per_cell": 0.80, "total_energy_ev_per_atom": -8.014, "ef_mev_per_atom": -1021.4}

***

Entry 4:
{"formula": "Ce2HfPt", "functional": "PBE", "state": "optimized geometry", "lattice_angstrom": [[3.045, 0.000, 0.000], [1.523, 2.637, 0.000], [1.523, 0.879, 11.017]], "species": ["Hf", "Pt", "Ce", "Ce"], "fractional_positions": [[0.000, 0.000, 0.000], [0.500, 0.500, 0.500], [0.091, 0.091, 0.728], [0.909, 0.909, 0.272]], "n_ef_per_ev_cell": 7.8, "m_tot_mub_per_cell": 0.00, "total_energy_ev_per_atom": -6.999, "ef_mev_per_atom": -33.6}